## YbCuO3 (GGA-PBE)

Data for a relaxed YbCuO3 crystal.

POSCAR file:
```
YbCuO3
1.0
3.743 0.000 0.000
0.000 3.743 0.000
0.000 0.000 3.743
Yb Cu O
1 1 3
Direct
0.000 0.000 0.000
0.500 0.500 0.500
0.000 0.500 0.500
0.500 0.000 0.500
0.500 0.500 0.000
```

Computed properties:
* electronic total energy: -5.56 eV/atom
* space group: Pm-3m (221)
* size of the total moment: 0.00 μB/f.u.
* density: 9009 kg/m³
* DOS(E_F): 3.879 states/eV/cell
* uncorrected formation energy: -1.46 eV/atom
* crystal system: cubic